1.
! CaCd2InSi PBE-GGA relaxed; values from VASP
! Crystal system ... tetragonal
! Size of the total moment ... 0.0 Bohr magnetons per cell
! Relative energy among the computed polymorphs ... 204 meV per atom
! Space group ... No. 123
! ΔE_f (raw) ... 0.382 eV/atom
&SYSTEM
  ibrav = 0, nat = 5, ntyp = 4
/
ATOMIC_SPECIES
In 114.82 In.upf
Cd 112.41 Cd.upf
Ca 40.08 Ca.upf
Si 28.09 Si.upf
CELL_PARAMETERS angstrom
-1.2197 0.9698 5.1684
-3.6952 -3.8001 -0.1590
3.6746 -3.6381 1.5499
ATOMIC_POSITIONS angstrom
In 0.0000 0.0000 0.0000
Cd -0.6099 0.4849 2.5842
Cd 1.8373 -1.8190 0.7749
Ca -0.6202 -3.2342 3.2796
Si -1.8476 -1.9001 -0.0795


2.
! CaSm2Cd2In2 PBE-GGA relaxed; values from VASP
! Energy relative to the elements ... -0.295 eV/atom
! Crystal system ... trigonal
! Size of the total moment ... 0.0 Bohr magnetons per cell
! Space group ... No. 166
&SYSTEM
  ibrav = 0, nat = 7, ntyp = 4
/
ATOMIC_SPECIES
In 114.82 In.upf
Sm 150.36 Sm.upf
Cd 112.41 Cd.upf
Ca 40.08 Ca.upf
CELL_PARAMETERS angstrom
-4.5688 -1.9300 -0.2504
-0.8199 -4.1008 -2.6783
0.0297 -7.3137 6.5848
ATOMIC_POSITIONS angstrom
In -1.3739 -3.2369 0.7725
In -3.9851 -10.1076 2.8836
Sm -4.6850 -8.0745 -0.0150
Sm -0.6739 -5.2700 3.6711
Cd -2.1462 -8.2211 4.0362
Cd -3.2128 -5.1234 -0.3801
Ca 0.0000 0.0000 0.0000


3.
! CaCdInSn PBE-GGA relaxed; values from VASP
! Energy relative to the elements ... -0.334 eV/atom
! Crystal system ... orthorhombic
! Size of the total moment ... 0.0 Bohr magnetons per cell
! Space group ... No. 47
&SYSTEM
  ibrav = 0, nat = 4, ntyp = 4
/
ATOMIC_SPECIES
In 114.82 In.upf
Cd 112.41 Cd.upf
Sn 118.71 Sn.upf
Ca 40.08 Ca.upf
CELL_PARAMETERS angstrom
4.6058 0.0000 0.0000
0.0000 4.6284 0.0000
0.0000 0.0000 4.8545
ATOMIC_POSITIONS angstrom
In 0.0000 2.3142 2.4273
Cd 2.3029 0.0000 2.4273
Sn 0.0000 0.0000 0.0000
Ca 2.3029 2.3142 0.0000